DFT (SCAN) results for a PBEsol-optimized structure of ZrIrRh2.

The energy of formation comes out at -0.515 eV/atom.

It has space group Pmm2 (No. 25), with a = 2.8651 Å, b = 3.7889 Å, c = 5.6153 Å, α = 90.00°, β = 90.00° and γ = 90.00°. Symmetry generates all atoms from Zr at (0.0000, 0.0000, 0.0000), Ir at (0.5000, 0.5000, 0.2725), Rh at (0.0000, 0.0000, 0.4973) and Rh at (0.5000, 0.5000, 0.7400).